No. 1
## Y2ZrP (GGA-PBE)

Data for a geometry-optimized Y2ZrP structure.

Output
Calculated total energy, eV per atom: -6.996
E_form, eV/atom: -0.275

Cell and atoms, written as CIF:
```
data_Y2ZrP
_cell_length_a 9.378
_cell_length_b 9.378
_cell_length_c 5.118
_cell_angle_alpha 90.00
_cell_angle_beta 90.00
_cell_angle_gamma 90.00
_space_group_name_H-M_alt 'I -4 2 d'
_space_group_IT_number 122
_space_group_name_Hall 'I -4 2bw'
loop_
_atom_site_label
_atom_site_fract_x
_atom_site_fract_y
_atom_site_fract_z
_atom_site_occupancy
Y1 0.133 0.750 0.125 1
Zr1 0.000 0.000 0.500 1
P1 0.000 0.000 0.000 1
```

No. 2
## Cs3PmSm2S6 (GGA-PBE)

Data for a geometry-optimized Cs3PmSm2S6 structure.

Output
Calculated total energy, eV per atom: -5.279
Formation energy without anion corrections, eV per formula unit: -21.83

Cell and atoms, written as CIF:
```
data_Cs3PmSm2S6
_cell_length_a 7.284
_cell_length_b 12.616
_cell_length_c 8.448
_cell_angle_alpha 90.00
_cell_angle_beta 106.70
_cell_angle_gamma 90.00
_space_group_name_H-M_alt 'C 1 2/m 1'
_space_group_IT_number 12
_space_group_name_Hall '-C 2y'
loop_
_atom_site_label
_atom_site_fract_x
_atom_site_fract_y
_atom_site_fract_z
_atom_site_occupancy
Cs1 0.000 0.000 0.000 1
Cs2 0.000 0.333 0.000 1
Pm1 0.000 0.500 0.500 1
Sm1 0.000 0.167 0.500 1
S1 0.227 0.000 0.685 1
S2 0.229 0.333 0.685 1
```

No. 3
## Nd2Sm3Sc2 (GGA-PBE)

Data for a geometry-optimized Nd2Sm3Sc2 structure.

Output
Calculated total energy, eV per atom: -5.144
Offset from the most stable computed form, meV/atom: 0
E_form, eV/atom: 0.050

Cell and atoms, written as CIF:
```
data_Nd2Sm3Sc2
_cell_length_a 11.099
_cell_length_b 5.024
_cell_length_c 7.950
_cell_angle_alpha 90.00
_cell_angle_beta 98.54
_cell_angle_gamma 90.00
_space_group_name_H-M_alt 'C 1 2/m 1'
_space_group_IT_number 12
_space_group_name_Hall '-C 2y'
loop_
_atom_site_label
_atom_site_fract_x
_atom_site_fract_y
_atom_site_fract_z
_atom_site_occupancy
Nd1 0.072 0.000 0.224 1
Sm1 0.000 0.500 0.500 1
Sm2 0.145 0.500 0.931 1
Sc1 0.216 0.000 0.639 1
```

No. 4
## PrThSnPb (GGA-PBE)

Data for a geometry-optimized PrThSnPb structure.

Output
Calculated total energy, eV per atom: -5.351
E_form, eV/atom: -0.373

Cell and atoms, written as CIF:
```
data_PrThSnPb
_cell_length_a 7.854
_cell_length_b 7.854
_cell_length_c 7.854
_cell_angle_alpha 90.00
_cell_angle_beta 90.00
_cell_angle_gamma 90.00
_space_group_name_H-M_alt 'F -4 3 m'
_space_group_IT_number 216
_space_group_name_Hall 'F -4 2 3'
loop_
_atom_site_label
_atom_site_fract_x
_atom_site_fract_y
_atom_site_fract_z
_atom_site_occupancy
Pr1 0.000 0.000 0.000 1
Th1 0.000 0.000 0.500 1
Sn1 0.250 0.250 0.750 1
Pb1 0.250 0.250 0.250 1
```

No. 5
## Tb2Pr3Sm4 (GGA-PBE)

Data for a geometry-optimized Tb2Pr3Sm4 structure.

Output
Calculated total energy, eV per atom: -4.705
Offset from the most stable computed form, meV/atom: 0
E_form, eV/atom: 0.015

Cell and atoms, written as CIF:
```
data_Tb2Pr3Sm4
_cell_length_a 12.087
_cell_length_b 3.644
_cell_length_c 15.000
_cell_angle_alpha 90.00
_cell_angle_beta 111.41
_cell_angle_gamma 90.00
_space_group_name_H-M_alt 'C 1 2/m 1'
_space_group_IT_number 12
_space_group_name_Hall '-C 2y'
loop_
_atom_site_label
_atom_site_fract_x
_atom_site_fract_y
_atom_site_fract_z
_atom_site_occupancy
Tb1 0.054 0.000 0.221 1
Pr1 0.000 0.500 0.000 1
Pr2 0.110 0.500 0.443 1
Sm1 0.170 0.000 0.669 1
Sm2 0.221 0.500 0.889 1
```

No. 6
## Cd3AgO3 (GGA-PBE)

Data for a geometry-optimized Cd3AgO3 structure.

Output
Calculated total energy, eV per atom: -3.530
Formation energy without anion corrections, eV per formula unit: -4.24

Cell and atoms, written as CIF:
```
data_Cd3AgO3
_cell_length_a 7.5225
_cell_length_b 7.5225
_cell_length_c 4.6113
_cell_angle_alpha 90.00
_cell_angle_beta 90.00
_cell_angle_gamma 120.00
_space_group_name_H-M_alt 'P 63/m'
_space_group_IT_number 176
_space_group_name_Hall '-P 6c'
loop_
_atom_site_label
_atom_site_fract_x
_atom_site_fract_y
_atom_site_fract_z
_atom_site_occupancy
Cd1 0.0500 0.7085 0.2500 1
Ag1 0.3333 0.6667 0.7500 1
O1 0.0310 0.6978 0.7500 1
```

The records above give, respectively, size of the total moment values of 0.000 0.000 0.000 0.002 0.000 0.000 μB per formula unit.